## 1
CeMgTe2 | GGA-PBE | optimized geometry

Calculated values
DOS(E_F) in states/eV/f.u.: 6.94

Geometry as POSCAR:
```
CeMgTe2
1.0
2.118 1.223 7.602
-2.118 1.223 7.602
0.000 -2.446 7.602
Ce Mg Te
1 1 2
Cartesian
0.000 0.000 0.000
0.000 0.000 11.402
0.000 0.000 5.497
0.000 0.000 17.308
```

=====

## 2
CeMgTe2 | GGA-PBE | optimized geometry

Calculated values
DOS(E_F) in states/eV/f.u.: 8.02

Geometry as POSCAR:
```
CeMgTe2
1.0
4.439 0.000 0.000
-2.220 3.844 0.000
0.000 0.000 27.893
Ce Mg Te
3 3 6
Cartesian
-0.730 1.264 9.298
1.459 0.000 18.595
1.490 2.581 0.000
-0.735 1.272 23.244
1.469 0.000 4.649
1.485 2.572 13.946
-0.729 1.300 26.053
-0.729 3.826 7.458
1.491 0.018 1.840
1.458 2.563 16.755
1.490 2.544 11.137
3.678 1.282 20.435
```

=====

Relative to the most stable one, in meV/atom, the structures come out at 1 0; 2 266.

=====

## 1
CeTh2Mg | GGA-PBE | optimized geometry

Calculated values
DOS(E_F) in states/eV/f.u.: 7.98

Geometry as POSCAR:
```
CeTh2Mg
1.0
4.978 0.000 0.000
0.000 4.978 0.000
0.000 0.000 4.772
Ce Th Mg
1 2 1
Cartesian
0.000 0.000 0.000
0.000 2.489 2.386
2.489 0.000 2.386
2.489 2.489 0.000
```

=====

## 2
CeTh2Mg | GGA-PBE | optimized geometry

Calculated values
DOS(E_F) in states/eV/f.u.: 8.28

Geometry as POSCAR:
```
CeTh2Mg
1.0
0.000 3.868 3.868
3.868 0.000 3.868
3.868 3.868 0.000
Ce Th Mg
1 2 1
Cartesian
0.000 0.000 0.000
1.934 1.934 1.934
5.802 5.802 5.802
3.868 3.868 3.868
```

=====

Relative to the most stable one, in meV/atom, the structures come out at 1 0; 2 97.

=====

## 1
CeThMg2 | GGA-PBE | optimized geometry

Calculated values
DOS(E_F) in states/eV/f.u.: 6.12

Geometry as POSCAR:
```
CeThMg2
1.0
1.639 0.946 11.814
-1.639 0.946 11.814
0.000 -1.892 11.814
Ce Th Mg
1 1 2
Cartesian
0.000 0.000 0.000
0.000 0.000 17.720
0.000 0.000 8.891
0.000 0.000 26.549
```

=====

## 2
CeThMg2 | GGA-PBE | optimized geometry

Calculated values
DOS(E_F) in states/eV/f.u.: 9.73

Geometry as POSCAR:
```
CeThMg2
1.0
0.000 3.829 3.829
3.829 0.000 3.829
3.829 3.829 0.000
Ce Th Mg
1 1 2
Cartesian
0.000 0.000 0.000
3.829 3.829 3.829
1.915 1.915 1.915
5.744 5.744 5.744
```

=====

Relative to the most stable one, in meV/atom, the structures come out at 1 0; 2 18.

=====

## 1
CeThMg2 | GGA-PBE | optimized geometry

Calculated values
DOS(E_F) in states/eV/f.u.: 6.90

Geometry as POSCAR:
```
CeThMg2
1.0
6.071 0.000 0.000
0.000 5.428 0.000
-0.007 0.000 6.556
Ce Th Mg
2 2 4
Cartesian
0.761 1.357 6.553
5.302 4.071 0.003
0.823 1.357 3.277
5.241 4.071 3.279
2.182 4.071 1.620
2.179 4.071 4.939
3.884 1.357 1.618
3.881 1.357 4.936
```

=====

## 2
CeThMg2 | GGA-PBE | optimized geometry

Calculated values
DOS(E_F) in states/eV/f.u.: 8.13

Geometry as POSCAR:
```
CeThMg2
1.0
3.807 0.000 0.000
0.000 3.807 0.000
0.000 0.000 7.765
Ce Th Mg
1 1 2
Cartesian
0.000 0.000 0.000
0.000 0.000 3.882
1.903 1.903 1.918
1.903 1.903 5.846
```

=====

Relative to the most stable one, in meV/atom, the structures come out at 1 0; 2 8.

=====

## 1
Ce2MgTi | GGA-PBE | optimized geometry

Calculated values
DOS(E_F) in states/eV/f.u.: 9.46

Geometry as POSCAR:
```
Ce2MgTi
1.0
4.446 0.000 0.000
0.000 4.446 0.000
0.000 0.000 4.773
Ce Mg Ti
2 1 1
Cartesian
0.000 2.223 0.000
2.223 0.000 0.000
0.000 0.000 2.386
2.223 2.223 2.386
```

=====

## 2
Ce2MgTi | GGA-PBE | optimized geometry

Calculated values
DOS(E_F) in states/eV/f.u.: 9.09

Geometry as POSCAR:
```
Ce2MgTi
1.0
3.080 0.000 0.000
0.000 3.080 0.000
0.000 0.000 10.047
Ce Mg Ti
2 1 1
Cartesian
0.000 0.000 2.320
0.000 0.000 7.727
1.540 1.540 5.023
1.540 1.540 0.000
```

=====

## 3
Ce2MgTi | GGA-PBE | optimized geometry

Calculated values
DOS(E_F) in states/eV/f.u.: 9.11

Geometry as POSCAR:
```
Ce2MgTi
1.0
1.527 0.882 11.831
-1.527 0.882 11.831
0.000 -1.764 11.831
Ce Mg Ti
2 1 1
Cartesian
0.000 0.000 3.274
0.000 0.000 32.218
0.000 0.000 0.000
0.000 0.000 17.746
```

=====

Relative to the most stable one, in meV/atom, the structures come out at 1 98; 2 0; 3 135.

=====

## 1
CeMg6Ti | GGA-PBE | optimized geometry

Calculated values
DOS(E_F) in states/eV/f.u.: 8.85

Geometry as POSCAR:
```
CeMg6Ti
1.0
4.938 0.000 0.000
0.000 3.201 5.827
0.000 -3.201 5.827
Ce Mg Ti
1 6 1
Cartesian
0.000 0.000 0.000
0.000 0.000 5.458
0.000 -1.636 8.515
0.000 1.636 8.515
2.469 -1.595 4.370
2.469 1.595 4.370
2.469 0.000 7.272
2.469 0.000 1.273
```

=====

## 2
CeMg6Ti | GGA-PBE | optimized geometry

Calculated values
DOS(E_F) in states/eV/f.u.: 9.01

Geometry as POSCAR:
```
CeMg6Ti
1.0
5.210 0.000 0.000
0.000 3.023 5.949
0.000 -3.023 5.949
Ce Mg Ti
1 6 1
Cartesian
0.000 0.000 0.000
0.000 -1.498 8.880
0.000 1.498 8.880
2.605 -1.480 4.732
2.605 0.000 1.904
2.605 0.000 7.494
2.605 1.480 4.732
0.000 0.000 5.777
```

=====

Relative to the most stable one, in meV/atom, the structures come out at 1 0; 2 6.